# LaPmDy2Mg, relaxed, DFT PBE-GGA
data_LaPmDy2Mg
_chemical_formula_sum 'La2 Pm2 Dy4 Mg2'
_cell_length_a 4.967
_cell_length_b 6.174
_cell_length_c 11.261
_cell_angle_alpha 89.51
_cell_angle_beta 90.00
_cell_angle_gamma 113.72
_space_group_name_H-M_alt 'P 1'
_space_group_IT_number 1
_space_group_name_Hall 'P 1'
loop_
_atom_site_label
_atom_site_type_symbol
_atom_site_fract_x
_atom_site_fract_y
_atom_site_fract_z
_atom_site_occupancy
Mg1 Mg 0.054 0.109 0.638 1
Dy1 Dy 0.156 0.311 0.950 1
Dy2 Dy 0.648 0.295 0.453 1
Dy3 Dy 0.352 0.705 0.547 1
La1 La 0.546 0.092 0.153 1
Mg2 Mg 0.946 0.891 0.362 1
La2 La 0.454 0.908 0.847 1
Pm1 Pm 0.248 0.495 0.257 1
Dy4 Dy 0.844 0.689 0.050 1
Pm2 Pm 0.752 0.505 0.743 1
# N(E_F) = 13.86 states/eV per cell
# Total DFT energy (no corrections) = -4.063 eV/atom

# LaTa2Cl, relaxed, DFT PBE-GGA
data_LaTa2Cl
_chemical_formula_sum 'La1 Ta2 Cl1'
_cell_length_a 4.897
_cell_length_b 4.897
_cell_length_c 4.897
_cell_angle_alpha 60.00
_cell_angle_beta 60.00
_cell_angle_gamma 60.00
_space_group_name_H-M_alt 'P 1'
_space_group_IT_number 1
_space_group_name_Hall 'P 1'
loop_
_atom_site_label
_atom_site_type_symbol
_atom_site_fract_x
_atom_site_fract_y
_atom_site_fract_z
_atom_site_occupancy
Ta1 Ta 0.250 0.250 0.250 1
Ta2 Ta 0.750 0.750 0.750 1
Cl1 Cl 0.000 0.000 0.000 1
La1 La 0.500 0.500 0.500 1
# Formation energy (no corrections) = 1110 meV/atom
# N(E_F) = 1.84 states/eV per cell
# Excess energy over the best structure of this formula in the dataset = 1307.6 meV per atom
# Total DFT energy (no corrections) = -6.510 eV/atom